Record 1
Computed, not measured: crystalline BaLa2As at its relaxed geometry at the GGA-PBE level of DFT.

Results
density = 6.2 g/cm³
magnetic moment = 3.3 μB per formula unit
raw total energy = -67.14 eV per cell
formation energy = -90 meV per atom
N(E_F) = 4.4 states/eV/f.u.

abc: 8.0657 8.0657 8.0657
angles: 90.00 90.00 90.00
Space group F-43m (No. 216)
Asymmetric unit:
Ba (0.0000, 0.0000, 0.0000) x4
La (0.0000, 0.0000, 0.5000) x4
La (0.2500, 0.2500, 0.2500) x4
As (0.2500, 0.2500, 0.7500) x4

Record 2
Computed, not measured: crystalline BaLa2As at its relaxed geometry at the GGA-PBE level of DFT.

Results
density = 4.9 g/cm³
magnetic moment = 0.6 μB per formula unit
raw total energy = -57.11 eV per cell
formation energy = -652 meV per atom
N(E_F) = 5.5 states/eV/f.u.

abc: 4.2332 4.2332 32.1296
angles: 90.00 90.00 120.00
Space group R-3m (No. 166, hexagonal axes)
Asymmetric unit:
Ba (0.0000, 0.0000, 0.0000) x3
La (0.0000, 0.0000, 0.2203) x6
As (0.0000, 0.0000, 0.5000) x3

Record 3
Computed, not measured: crystalline BaLaAs3 at its relaxed geometry at the GGA-PBE level of DFT.

Results
density = 4.6 g/cm³
magnetic moment = 0.0 μB per formula unit
raw total energy = -22.74 eV per cell
polymorph energy (0 for the lowest one) = 0 meV per atom
formation energy = -388 meV per atom
N(E_F) = 6.2 states/eV/f.u.

abc: 5.6419 5.6419 5.6419
angles: 90.00 90.00 90.00
Space group Pm-3m (No. 221)
Asymmetric unit:
Ba (0.0000, 0.0000, 0.0000) x1
La (0.5000, 0.5000, 0.5000) x1
As (0.0000, 0.5000, 0.5000) x3

Record 4
Computed, not measured: crystalline BaLa2As at its relaxed geometry at the GGA-PBE level of DFT.

Results
density = 5.3 g/cm³
magnetic moment = 1.1 μB per formula unit
raw total energy = -36.84 eV per cell
formation energy = -498 meV per atom
N(E_F) = 5.9 states/eV/f.u.

abc: 3.9520 4.8800 15.9069
angles: 90.00 90.00 90.00
Space group Imm2 (No. 44)
Asymmetric unit:
Ba (0.0000, 0.0000, 0.0000) x2
La (0.0000, 0.0000, 0.6727) x2
La (0.0000, 0.5000, 0.8208) x2
As (0.0000, 0.5000, 0.3222) x2

Record 5
Computed, not measured: crystalline Ba3LaAs at its relaxed geometry at the GGA-PBE level of DFT.

Results
density = 4.5 g/cm³
magnetic moment = 0.0 μB per formula unit
raw total energy = -12.28 eV per cell
polymorph energy (0 for the lowest one) = 812 meV per atom
formation energy = 614 meV per atom
N(E_F) = 7.9 states/eV/f.u.

abc: 6.1251 6.1251 6.1251
angles: 90.00 90.00 90.00
Space group Pm-3m (No. 221)
Asymmetric unit:
Ba (0.0000, 0.0000, 0.5000) x3
La (0.0000, 0.0000, 0.0000) x1
As (0.5000, 0.5000, 0.5000) x1

Record 6
Computed, not measured: crystalline BaLa2As at its relaxed geometry at the GGA-PBE level of DFT.

Results
density = 5.4 g/cm³
magnetic moment = 0.2 μB per formula unit
raw total energy = -18.57 eV per cell
formation energy = -536 meV per atom
N(E_F) = 6.9 states/eV/f.u.

abc: 3.8580 3.8580 10.1470
angles: 90.00 90.00 90.00
Space group P4/mmm (No. 123)
Asymmetric unit:
Ba (0.0000, 0.0000, 0.0000) x1
La (0.5000, 0.5000, 0.3402) x2
As (0.0000, 0.0000, 0.5000) x1

Record 7
Computed, not measured: crystalline BaLa2As at its relaxed geometry at the GGA-PBE level of DFT.

Results
density = 5.4 g/cm³
magnetic moment = 0.6 μB per formula unit
raw total energy = -37.06 eV per cell
formation energy = -526 meV per atom
N(E_F) = 5.8 states/eV/f.u.

abc: 12.4738 4.0732 7.0565
angles: 90.00 123.10 90.00
Space group Cm (No. 8)
Asymmetric unit:
Ba (0.0000, 0.0000, 0.0000) x2
La (0.1348, 0.5000, 0.6351) x2
La (0.3274, 0.5000, 0.2875) x2
As (0.2852, 0.0000, 0.5464) x2

Record 8
Computed, not measured: crystalline BaLa2As at its relaxed geometry at the GGA-PBE level of DFT.

Results
density = 5.3 g/cm³
magnetic moment = 0.0 μB per formula unit
raw total energy = -72.36 eV per cell
formation energy = -416 meV per atom
N(E_F) = 3.2 states/eV/f.u.

abc: 9.4570 9.4570 6.8103
angles: 90.00 90.00 90.00
Space group I-42d (No. 122)
Asymmetric unit:
Ba (0.0000, 0.0000, 0.0000) x4
La (0.1726, 0.2500, 0.6250) x8
As (0.0000, 0.0000, 0.5000) x4

Record 9
Computed, not measured: crystalline Ba3LaAs at its relaxed geometry at the GGA-PBE level of DFT.

Results
density = 3.9 g/cm³
magnetic moment = 1.0 μB per formula unit
raw total energy = -16.34 eV per cell
polymorph energy (0 for the lowest one) = 0 meV per atom
formation energy = -198 meV per atom
N(E_F) = 9.0 states/eV/f.u.

abc: 6.4162 6.4162 6.4162
angles: 90.00 90.00 90.00
Space group Pm-3m (No. 221)
Asymmetric unit:
Ba (0.0000, 0.0000, 0.5000) x3
La (0.5000, 0.5000, 0.5000) x1
As (0.0000, 0.0000, 0.0000) x1

Record 10
Computed, not measured: crystalline BaLa2As at its relaxed geometry at the GGA-PBE level of DFT.

Results
density = 6.6 g/cm³
magnetic moment = 0.0 μB per formula unit
raw total energy = -17.96 eV per cell
formation energy = -384 meV per atom
N(E_F) = 4.9 states/eV/f.u.

abc: 5.0038 5.0038 4.9266
angles: 90.00 90.00 90.00
Space group P4/mmm (No. 123)
Asymmetric unit:
Ba (0.0000, 0.0000, 0.0000) x1
La (0.0000, 0.5000, 0.5000) x2
As (0.5000, 0.5000, 0.0000) x1

Record 11
Computed, not measured: crystalline BaLa4As at its relaxed geometry at the GGA-PBE level of DFT.

Results
density = 6.0 g/cm³
magnetic moment = 0.0 μB per formula unit
raw total energy = -99.85 eV per cell
formation energy = 220 meV per atom
N(E_F) = 10.5 states/eV/f.u.

abc: 9.4792 9.4792 9.4792
angles: 90.00 90.00 90.00
Space group F-43m (No. 216)
Asymmetric unit:
Ba (0.0000, 0.0000, 0.0000) x4
La (0.1249, 0.1249, 0.6249) x16
As (0.2500, 0.2500, 0.2500) x4

Record 12
Computed, not measured: crystalline BaLaAs3 at its relaxed geometry at the GGA-PBE level of DFT.

Results
density = 4.7 g/cm³
magnetic moment = 0.0 μB per formula unit
raw total energy = -19.26 eV per cell
polymorph energy (0 for the lowest one) = 695 meV per atom
formation energy = 307 meV per atom
N(E_F) = 5.8 states/eV/f.u.

abc: 5.6170 5.6170 5.6170
angles: 90.00 90.00 90.00
Space group Pm-3m (No. 221)
Asymmetric unit:
Ba (0.0000, 0.0000, 0.0000) x1
La (0.5000, 0.5000, 0.5000) x1
As (0.0000, 0.0000, 0.5000) x3

Record 13
Computed, not measured: crystalline BaLi2LaAs2 at its relaxed geometry at the GGA-PBE level of DFT.

Results
density = 4.9 g/cm³
magnetic moment = 0.6 μB per formula unit
raw total energy = -25.98 eV per cell
formation energy = -1000 meV per atom
N(E_F) = 3.7 states/eV/f.u.

abc: 4.4603 4.4603 8.7067
angles: 90.00 90.00 120.00
Space group P-3m1 (No. 164)
Asymmetric unit:
Ba (0.0000, 0.0000, 0.0000) x1
Li (0.3333, 0.6667, 0.7324) x2
La (0.0000, 0.0000, 0.5000) x1
As (0.3333, 0.6667, 0.2807) x2

Record 14
Computed, not measured: crystalline BaLaAsN2 at its relaxed geometry at the GGA-PBE level of DFT.

Results
density = 2.7 g/cm³
magnetic moment = 1.8 μB per formula unit
raw total energy = -22.45 eV per cell
N(E_F) = 3.2 states/eV/f.u.

abc: 4.5202 4.5202 11.3946
angles: 90.00 90.00 90.00
Space group P4/mmm (No. 123)
Asymmetric unit:
Ba (0.0000, 0.0000, 0.0000) x1
La (0.0000, 0.0000, 0.5000) x1
As (0.5000, 0.5000, 0.5000) x1
N (0.0000, 0.5000, 0.0000) x2

Record 15
Computed, not measured: crystalline BaLaAsN2 at its relaxed geometry at the GGA-PBE level of DFT.

Results
density = 5.7 g/cm³
magnetic moment = 0.8 μB per formula unit
raw total energy = -22.46 eV per cell
N(E_F) = 5.4 states/eV/f.u.

abc: 4.5806 4.5806 5.2829
angles: 90.00 90.00 90.00
Space group P4/mmm (No. 123)
Asymmetric unit:
Ba (0.0000, 0.0000, 0.0000) x1
La (0.5000, 0.5000, 0.0000) x1
As (0.5000, 0.5000, 0.5000) x1
N (0.0000, 0.5000, 0.5000) x2

Record 16
Computed, not measured: crystalline BaLaAs2O6 at its relaxed geometry at the GGA-PBE level of DFT.

Results
density = 4.7 g/cm³
magnetic moment = 1.0 μB per formula unit
raw total energy = -200.05 eV per cell
N(E_F) = 4.9 states/eV/f.u.

abc: 5.8700 5.8700 18.3921
angles: 90.00 90.00 120.00
Space group R-3 (No. 148, hexagonal axes)
Asymmetric unit:
Ba (0.0000, 0.0000, 0.0000) x3
La (0.0000, 0.0000, 0.5000) x3
As (0.0000, 0.0000, 0.2775) x6
O (0.0263, 0.2928, 0.2413) x18

Record 17
Computed, not measured: crystalline Ba3La2PaAs6 at its relaxed geometry at the GGA-PBE level of DFT.

Results
density = 5.8 g/cm³
magnetic moment = 0.0 μB per formula unit
raw total energy = -135.52 eV per cell
formation energy = -1228 meV per atom
N(E_F) = 13.4 states/eV/f.u.

abc: 7.7423 13.4190 7.9266
angles: 90.00 109.07 90.00
Space group C2/m (No. 12)
Asymmetric unit:
Ba (0.0000, 0.0000, 0.0000) x2
Ba (0.0000, 0.3300, 0.0000) x4
La (0.0000, 0.1660, 0.5000) x4
Pa (0.0000, 0.5000, 0.5000) x2
As (0.2270, 0.3428, 0.7102) x8
As (0.2427, 0.5000, 0.2884) x4

Record 18
Computed, not measured: crystalline BaLaAs2Pd2 at its relaxed geometry at the GGA-PBE level of DFT.

Results
density = 7.2 g/cm³
magnetic moment = 0.0 μB per formula unit
raw total energy = -33.24 eV per cell
formation energy = -1118 meV per atom
N(E_F) = 2.6 states/eV/f.u.

abc: 4.4082 4.4082 8.8162
angles: 90.00 90.00 120.00
Space group P-3m1 (No. 164)
Asymmetric unit:
Ba (0.0000, 0.0000, 0.0000) x1
La (0.0000, 0.0000, 0.5000) x1
As (0.3333, 0.6667, 0.2741) x2
Pd (0.3333, 0.6667, 0.7307) x2

Record 19
Computed, not measured: crystalline BaLaAs2Pt at its relaxed geometry at the GGA-PBE level of DFT.

Results
density = 5.4 g/cm³
magnetic moment = 0.0 μB per formula unit
raw total energy = -15.86 eV per cell
formation energy = 1266 meV per atom
N(E_F) = 4.9 states/eV/f.u.

abc: 5.4495 5.4495 6.4865
angles: 90.00 90.00 90.00
Space group P4/mmm (No. 123)
Asymmetric unit:
Ba (0.0000, 0.0000, 0.0000) x1
La (0.0000, 0.0000, 0.5000) x1
As (0.0000, 0.5000, 0.0000) x2
Pt (0.5000, 0.5000, 0.5000) x1

Record 20
Computed, not measured: crystalline BaLa2AsRh at its relaxed geometry at the GGA-PBE level of DFT.

Results
density = 5.1 g/cm³
magnetic moment = 0.0 μB per formula unit
raw total energy = -23.73 eV per cell
formation energy = 9 meV per atom
N(E_F) = 6.8 states/eV/f.u.

abc: 5.6507 5.6507 6.1054
angles: 90.00 90.00 90.00
Space group P4/mmm (No. 123)
Asymmetric unit:
Ba (0.0000, 0.0000, 0.0000) x1
La (0.0000, 0.5000, 0.5000) x2
As (0.0000, 0.0000, 0.5000) x1
Rh (0.5000, 0.5000, 0.0000) x1